1.
Crystalline Ce3MnTl at its relaxed geometry. Source: the Alexandria database, functional PBE.

Structure (POSCAR):
```
Ce3MnTl
1.0
-1.143 4.934 0.125
-2.817 -0.757 4.142
4.053 0.866 2.915
Tl Mn Ce
1 1 3
Direct
0.500 0.500 0.500
0.000 0.000 0.000
0.000 0.500 0.000
0.000 0.000 0.500
0.500 0.000 0.000
```

For the theoretical density, the calculation gives 8679 kg/m3. For the density of states at the Fermi level, the calculation gives 2.0625 states/eV per atom. The formation energy comes out at -125.9 meV per atom. The space group is Pm-3m (221).

---

2.
Crystalline Ce6Mn2Tl at its relaxed geometry. Source: the Alexandria database, functional PBE.

Structure (POSCAR):
```
Ce6Mn2Tl
1.0
4.952 0.000 0.000
-2.476 5.058 -0.373
0.000 -0.319 8.719
Ce Mn Tl
6 2 1
Direct
0.056 0.112 0.869
0.603 0.206 0.166
0.397 0.794 0.834
0.704 0.407 0.637
0.296 0.593 0.363
0.944 0.888 0.131
0.734 0.468 0.882
0.266 0.532 0.118
0.000 0.000 0.500
```

For the theoretical density, the calculation gives 8805 kg/m3. For the density of states at the Fermi level, the calculation gives 1.5913 states/eV per atom. The formation energy comes out at -100.3 meV per atom. The space group is C2/m (12).

---

3.
Crystalline Ce3TmMn at its relaxed geometry. Source: the Alexandria database, functional PBE.

Structure (POSCAR):
```
Ce3TmMn
1.0
-4.088 1.964 2.432
-3.111 -2.168 -3.480
-0.304 -4.234 2.910
Mn Tm Ce
1 1 3
Direct
0.000 0.000 0.000
0.500 0.500 0.500
0.000 0.500 0.000
0.000 0.000 0.500
0.500 0.000 0.000
```

For the theoretical density, the calculation gives 7847 kg/m3. For the density of states at the Fermi level, the calculation gives 2.3507 states/eV per atom. The formation energy comes out at 157.0 meV per atom. The space group is Pm-3m (221).

---

4.
Crystalline CeTmMn2 at its relaxed geometry. Source: the Alexandria database, functional PBE.

Structure (POSCAR):
```
CeTmMn2
1.0
-0.721 0.274 3.356
-2.090 -2.727 -0.226
5.198 -4.103 1.453
Mn Tm Ce
2 1 1
Direct
0.000 0.000 0.716
0.000 0.000 0.284
0.500 0.500 0.000
0.500 0.500 0.500
```

For the theoretical density, the calculation gives 8654 kg/m3. For the density of states at the Fermi level, the calculation gives 1.3297 states/eV per atom. The formation energy comes out at 170.2 meV per atom. The space group is P4/mmm (123).

---

5.
Crystalline CeTm2Mn at its relaxed geometry. Source: the Alexandria database, functional PBE.

Structure (POSCAR):
```
CeTm2Mn
1.0
-0.348 2.297 2.338
-2.992 0.694 1.196
0.220 -6.793 9.030
Mn Tm Ce
1 2 1
Direct
0.000 0.000 0.000
0.083 0.083 0.751
0.917 0.917 0.249
0.500 0.500 0.500
```

For the theoretical density, the calculation gives 8444 kg/m3. For the density of states at the Fermi level, the calculation gives 1.5096 states/eV per atom. The formation energy comes out at 501.5 meV per atom. The space group is R-3m (166).

---

6.
Crystalline Ce2TmMn at its relaxed geometry. Source: the Alexandria database, functional PBE.

Structure (POSCAR):
```
Ce2TmMn
1.0
-2.138 0.691 -2.460
-2.521 -0.051 2.177
1.077 8.485 1.447
Mn Tm Ce
1 1 2
Direct
0.500 0.500 0.500
0.500 0.500 0.000
0.000 0.000 0.694
0.000 0.000 0.306
```

For the theoretical density, the calculation gives 8695 kg/m3. For the density of states at the Fermi level, the calculation gives 2.5355 states/eV per atom. The formation energy comes out at 221.3 meV per atom. The space group is P4/mmm (123).

---

7.
Crystalline CeTmMn2 at its relaxed geometry. Source: the Alexandria database, functional PBE.

Structure (POSCAR):
```
CeTmMn2
1.0
-2.196 -1.984 1.565
3.080 -0.332 3.903
-2.158 4.000 2.043
Mn Tm Ce
2 1 1
Direct
0.000 0.000 0.500
0.000 0.500 0.000
0.500 0.000 0.000
0.500 0.500 0.500
```

For the theoretical density, the calculation gives 8368 kg/m3. For the density of states at the Fermi level, the calculation gives 2.0467 states/eV per atom. The formation energy comes out at 190.7 meV per atom. The space group is P4/mmm (123).

---

8.
Crystalline Ce2TmMn at its relaxed geometry. Source: the Alexandria database, functional PBE.

Structure (POSCAR):
```
Ce2TmMn
1.0
3.793 0.000 0.000
1.897 3.285 0.000
1.897 1.095 8.361
Ce Tm Mn
2 1 1
Direct
0.061 0.061 0.816
0.283 0.283 0.151
0.509 0.509 0.473
0.647 0.647 0.060
```

For the theoretical density, the calculation gives 8035 kg/m3. For the density of states at the Fermi level, the calculation gives 1.5523 states/eV per atom. The formation energy comes out at 219.8 meV per atom. The space group is R3m (160).

---

9.
Crystalline CeTm2Mn at its relaxed geometry. Source: the Alexandria database, functional PBE.

Structure (POSCAR):
```
CeTm2Mn
1.0
-2.752 0.611 -1.900
-0.746 -3.317 0.013
-4.825 1.115 7.347
Mn Tm Ce
1 2 1
Direct
0.500 0.500 0.000
0.000 0.000 0.804
0.000 0.000 0.196
0.500 0.500 0.500
```

For the theoretical density, the calculation gives 8640 kg/m3. For the density of states at the Fermi level, the calculation gives 2.0334 states/eV per atom. The formation energy comes out at 138.7 meV per atom. The space group is P4/mmm (123).

---

10.
Crystalline CeTmMn4 at its relaxed geometry. Source: the Alexandria database, functional PBE.

Structure (POSCAR):
```
CeTmMn4
1.0
5.126 0.000 0.000
2.563 4.439 0.000
2.563 1.480 4.186
Mn Tm Ce
4 1 1
Direct
0.625 0.625 0.125
0.625 0.125 0.625
0.625 0.625 0.625
0.125 0.625 0.625
0.000 0.000 0.000
0.250 0.250 0.250
```

For the theoretical density, the calculation gives 9219 kg/m3. For the density of states at the Fermi level, the calculation gives 1.4310 states/eV per atom. The formation energy comes out at 88.5 meV per atom. The space group is F-43m (216).

---

11.
Crystalline CeTmMnZn at its relaxed geometry. Source: the Alexandria database, functional PBE.

Structure (POSCAR):
```
CeTmMnZn
1.0
-2.634 -4.217 0.115
0.695 -3.462 -3.503
2.229 -4.293 1.154
Mn Zn Tm Ce
1 1 1 1
Direct
0.500 0.500 0.500
0.000 0.000 0.000
0.250 0.250 0.250
0.750 0.750 0.750
```

For the theoretical density, the calculation gives 8198 kg/m3. For the density of states at the Fermi level, the calculation gives 1.2547 states/eV per atom. The formation energy comes out at -26.7 meV per atom. The space group is F-43m (216).

---

12.
Crystalline CeU2Mn at its relaxed geometry. Source: the Alexandria database, functional PBE.

Structure (POSCAR):
```
CeU2Mn
1.0
4.031 0.000 0.000
2.016 3.491 0.000
2.016 1.164 5.558
Mn U Ce
1 2 1
Direct
0.000 0.000 0.000
0.260 0.260 0.219
0.740 0.740 0.781
0.500 0.500 0.500
```

For the theoretical density, the calculation gives 14248 kg/m3. For the density of states at the Fermi level, the calculation gives 2.5790 states/eV per atom. The formation energy comes out at 308.5 meV per atom. The space group is R-3m (166).